Record 1
A plane-wave DFT calculation with PBE-GGA was carried out for a relaxed BeP2Ru crystal.

Unit cell a=4.090 b=4.090 c=4.296 alpha=85.75 beta=85.75 gamma=43.01
Positions (direct):
Ru1 0.750 0.750 0.750
Be1 0.250 0.250 0.250
P1 0.019 0.019 0.014
P2 0.481 0.481 0.486

Values from the calculation:
The calculated total energy is -6.047 eV/atom. The formation energy from the elements comes out at -0.091 eV per atom.

***

Record 2
A plane-wave DFT calculation with PBE-GGA was carried out for a relaxed ZrRe2Rh crystal.

Unit cell a=2.917 b=3.834 c=5.910 alpha=90.00 beta=90.00 gamma=90.00
Positions (direct):
Re1 0.000 0.000 0.038
Re2 0.500 0.500 0.229
Rh1 0.000 0.000 0.499
Zr1 0.500 0.500 0.735

Values from the calculation:
The calculated total energy is -10.282 eV/atom. The formation energy from the elements comes out at -0.083 eV per atom. The polymorph energy (0 for the lowest one) is 0.0423 eV/atom.

***

Record 3
A plane-wave DFT calculation with PBE-GGA was carried out for a relaxed Sc2BOs crystal.

Unit cell a=8.792 b=8.792 c=6.532 alpha=47.70 beta=47.70 gamma=90.00
Positions (direct):
Sc1 0.466 0.125 0.250
Sc2 0.284 0.625 0.250
Sc3 0.375 0.534 0.750
Sc4 0.875 0.716 0.750
B1 0.500 0.500 0.000
B2 0.250 0.750 0.500
Os1 0.000 0.000 0.000
Os2 0.750 0.250 0.500

Values from the calculation:
The calculated total energy is -7.686 eV/atom. The formation energy from the elements comes out at -0.043 eV per atom.

***

Record 4
A plane-wave DFT calculation with PBE-GGA was carried out for a relaxed Ho3PdPt crystal.

Unit cell a=3.884 b=7.485 c=9.687 alpha=62.89 beta=90.00 gamma=90.00
Positions (direct):
Ho1 0.863 0.370 0.750
Ho2 0.863 0.937 0.660
Ho3 0.863 0.628 0.041
Ho4 0.363 0.207 0.095
Ho5 0.863 0.790 0.370
Ho6 0.363 0.371 0.423
Pd1 0.363 0.796 0.162
Pd2 0.363 0.034 0.833
Pt1 0.363 0.607 0.819
Pt2 0.863 0.202 0.310

Values from the calculation:
The calculated total energy is -5.821 eV/atom. The formation energy from the elements comes out at -0.828 eV per atom.

***

Q: Which value of calculated total energy does entry 1 give?
A: -6.047 eV/atom

***

Q: What is the formation energy from the elements in the first record?
A: -0.091 eV per atom

***

Q: Number 3 is which compound?
A: Sc2BOs